KCdGe2O6: optimized geometry, PBE.

a = 10.5106 Å, b = 11.3983 Å, c = 5.4376 Å
α = 90.00°, β = 101.42°, γ = 90.00°
With the nearest neighbours (Å) after each atom.
Space group C2/c (No. 15)
Asymmetric unit:
K: 0.0000 0.0907 0.2500 (multiplicity 4)  6 O 2.66-2.78
Cd: 0.0000 0.2723 0.7500 (multiplicity 4)  4 O 2.23-2.30
Ge: 0.2015 0.4189 0.1596 (multiplicity 8)  4 O 1.73-1.82
O: 0.0901 0.3004 0.1537 (multiplicity 8)  1 Ge 1.78
O: 0.1375 0.1169 0.7332 (multiplicity 8)  1 Ge 1.73
O: 0.1598 0.4548 0.8263 (multiplicity 8)  2 Ge 1.80-1.82

Summary:
* ΔE_f (raw): -1324 kJ/mol of formula units


BeTl2GeS4: optimized geometry, PBE.

a = 6.8218 Å, b = 6.8218 Å, c = 8.2479 Å
α = 90.00°, β = 90.00°, γ = 90.00°
With the nearest neighbours (Å) after each atom.
Space group I-4 (No. 82)
Asymmetric unit:
Be: 0.0000 0.0000 0.0000 (multiplicity 2)  4 S 2.13
Tl: 0.0000 0.0000 0.5000 (multiplicity 2)  4 S 3.17
Tl: 0.0000 0.5000 0.7500 (multiplicity 2)  8 S 3.21-3.57
Ge: 0.0000 0.5000 0.2500 (multiplicity 2)  4 S 2.27
S: 0.1354 0.7534 0.1123 (multiplicity 8)  1 Be 2.13, 1 Ge 2.27

Summary:
* D(E_F): 0.000 states/eV per atom
* ΔE_f (raw): -392 kJ/mol of formula units


ReBI2N: optimized geometry, PBE.

a = 5.5564 Å, b = 5.5564 Å, c = 3.7702 Å
α = 90.00°, β = 90.00°, γ = 90.00°
With the nearest neighbours (Å) after each atom.
Space group P4/mmm (No. 123)
Asymmetric unit:
Re: 0.0000 0.0000 0.0000 (multiplicity 1)  2 N 1.89
B: 0.5000 0.5000 0.5000 (multiplicity 1)  8 I 3.36
I: 0.0000 0.5000 0.0000 (multiplicity 2)  2 Re 2.78
N: 0.0000 0.0000 0.5000 (multiplicity 1)  2 Re 1.89

Summary:
* D(E_F): 0.529 states/eV per atom
* ΔE_f (raw): 599 kJ/mol of formula units
* distance to the lowest polymorph of the same formula: 186.1 meV/atom


PrGd2Tm: optimized geometry, PBE.

a = 8.0731 Å, b = 8.0731 Å, c = 8.0731 Å
α = 90.00°, β = 90.00°, γ = 90.00°
With the nearest neighbours (Å) after each atom.
Space group Fm-3m (No. 225)
Asymmetric unit:
Pr: 0.0000 0.0000 0.0000 (multiplicity 4)  8 Gd 3.50
Gd: 0.2500 0.2500 0.2500 (multiplicity 8)  4 Pr 3.50, 4 Tm 3.50
Tm: 0.0000 0.0000 0.5000 (multiplicity 4)  8 Gd 3.50

Summary:
* D(E_F): 1.612 states/eV per atom
* energy of formation from the pure elements: 0.095 eV per atom
* distance to the lowest polymorph of the same formula: 74.0 meV/atom


Cs2GaIrCl6: optimized geometry, PBE.

a = 7.4476 Å, b = 7.4476 Å, c = 10.5250 Å
α = 90.00°, β = 90.00°, γ = 90.00°
With the nearest neighbours (Å) after each atom.
Space group I4/mmm (No. 139)
Asymmetric unit:
Cs: 0.0000 0.5000 0.2500 (multiplicity 4)  12 Cl 3.73
Ga: 0.0000 0.0000 0.0000 (multiplicity 2)  6 Cl 2.87-2.88
Ir: 0.0000 0.0000 0.5000 (multiplicity 2)  6 Cl 2.39
Cl: 0.0000 0.0000 0.2730 (multiplicity 4)  1 Ir 2.39
Cl: 0.2268 0.2268 0.5000 (multiplicity 8)  1 Ir 2.39

Summary:
* D(E_F): 0.000 states/eV per atom
* ΔE_f (raw): -1132 kJ/mol of formula units


Tl3GaHg8: optimized geometry, PBE.

a = 10.5458 Å, b = 10.5458 Å, c = 6.7947 Å
α = 90.00°, β = 90.00°, γ = 120.00°
With the nearest neighbours (Å) after each atom.
Space group P6_3mc (No. 186)
Asymmetric unit:
Tl: 0.1565 0.3131 0.0000 (multiplicity 6)  11 Hg 3.28-3.67, 1 Ga 3.63
Ga: 0.3333 0.6667 0.2432 (multiplicity 2)  7 Hg 2.87-3.07
Hg: 0.0000 0.0000 0.2496 (multiplicity 2)  6 Tl 3.32-3.33, 2 Hg 3.40
Hg: 0.0083 0.5042 0.2304 (multiplicity 6)  1 Ga 2.97, 3 Hg 3.18-3.25
Hg: 0.1958 0.3916 0.5037 (multiplicity 6)  1 Ga 3.07, 5 Hg 3.25-3.33, 2 Tl 3.28
Hg: 0.3333 0.6667 0.8202 (multiplicity 2)  1 Ga 2.87, 3 Hg 3.18

Summary:
* D(E_F): 0.310 states/eV per atom
* energy of formation from the pure elements: -0.002 eV per atom


Tl2ZnCu2: optimized geometry, PBE.

a = 6.8016 Å, b = 6.8016 Å, c = 4.2139 Å
α = 90.00°, β = 90.00°, γ = 90.00°
With the nearest neighbours (Å) after each atom.
Space group P4/mbm (No. 127)
Asymmetric unit:
Tl: 0.1734 0.3266 0.0000 (multiplicity 4)  6 Cu 2.82-2.97
Zn: 0.0000 0.0000 0.5000 (multiplicity 2)  4 Cu 2.66
Cu: 0.1325 0.6325 0.5000 (multiplicity 4)  1 Cu 2.55, 2 Zn 2.66, 2 Tl 2.82

Summary:
* D(E_F): 0.424 states/eV per atom
* energy of formation from the pure elements: 0.232 eV per atom
* distance to the lowest polymorph of the same formula: 0.0 meV/atom


ScAg2Au: optimized geometry, PBE.

a = 5.8619 Å, b = 8.3777 Å, c = 3.0681 Å
α = 90.00°, β = 90.00°, γ = 90.00°
With the nearest neighbours (Å) after each atom.
Space group Cmmm (No. 65)
Asymmetric unit:
Sc: 0.0000 0.0000 0.0000 (multiplicity 2)  2 Au 2.93, 8 Ag 2.98, 2 Sc 3.07
Ag: 0.2500 0.2500 0.5000 (multiplicity 4)  4 Ag 2.93-3.07, 4 Sc 2.98, 4 Au 2.98
Au: 0.0000 0.5000 0.0000 (multiplicity 2)  2 Sc 2.93, 8 Ag 2.98, 2 Au 3.07

Summary:
* D(E_F): 0.518 states/eV per atom
* energy of formation from the pure elements: -0.114 eV per atom
* distance to the lowest polymorph of the same formula: 253.4 meV/atom


YMg2Se: optimized geometry, PBE.

a = 4.0158 Å, b = 4.0158 Å, c = 5.9595 Å
α = 90.00°, β = 90.00°, γ = 90.00°
With the nearest neighbours (Å) after each atom.
Space group P4/mmm (No. 123)
Asymmetric unit:
Y: 0.0000 0.0000 0.0000 (multiplicity 1)  2 Se 2.98, 8 Mg 3.23
Mg: 0.5000 0.5000 0.2569 (multiplicity 2)  2 Mg 2.90-3.06, 4 Se 3.19, 4 Y 3.23
Se: 0.0000 0.0000 0.5000 (multiplicity 1)  2 Y 2.98, 8 Mg 3.19

Summary:
* D(E_F): 0.882 states/eV per atom
* ΔE_f (raw): -145 kJ/mol of formula units


LiMg2Si2Ir5: optimized geometry, PBE.

a = 9.6954 Å, b = 9.6954 Å, c = 3.1159 Å
α = 90.00°, β = 90.00°, γ = 90.00°
With the nearest neighbours (Å) after each atom.
Space group P4/mbm (No. 127)
Asymmetric unit:
Li: 0.0000 0.0000 0.0000 (multiplicity 2)  8 Ir 2.56
Mg: 0.1709 0.3291 0.0000 (multiplicity 4)  1 Si 2.66, 6 Ir 2.81-2.98
Si: 0.1350 0.6350 0.0000 (multiplicity 4)  6 Ir 2.34-2.42
Ir: 0.0000 0.5000 0.5000 (multiplicity 2)  4 Si 2.42
Ir: 0.0688 0.8025 0.5000 (multiplicity 8)  2 Si 2.34, 2 Li 2.56

Summary:
* D(E_F): 0.335 states/eV per atom
* ΔE_f (raw): -448 kJ/mol of formula units


NaHfS2Cl: optimized geometry, PBE.

a = 4.9587 Å, b = 4.9587 Å, c = 5.0622 Å
α = 90.00°, β = 90.00°, γ = 90.00°
With the nearest neighbours (Å) after each atom.
Space group P4/mmm (No. 123)
Asymmetric unit:
Na: 0.0000 0.0000 0.0000 (multiplicity 1)  4 Cl 3.51, 8 S 3.54
Hf: 0.5000 0.5000 0.5000 (multiplicity 1)  4 S 2.48, 2 Cl 2.53
S: 0.0000 0.5000 0.5000 (multiplicity 2)  2 Hf 2.48
Cl: 0.5000 0.5000 0.0000 (multiplicity 1)  2 Hf 2.53

Summary:
* D(E_F): 0.070 states/eV per atom
* ΔE_f (raw): -653 kJ/mol of formula units
* distance to the lowest polymorph of the same formula: 0.0 meV/atom


Er2CuSe: optimized geometry, PBE.

a = 3.8981 Å, b = 3.8981 Å, c = 21.1396 Å
α = 90.00°, β = 90.00°, γ = 120.00°
With the nearest neighbours (Å) after each atom.
Space group R-3m (No. 166, hexagonal axes)
Asymmetric unit:
Er: 0.0000 0.0000 0.2475 (multiplicity 6)  3 Cu 2.83, 3 Se 2.89
Cu: 0.0000 0.0000 0.5000 (multiplicity 3)  6 Er 2.83
Se: 0.0000 0.0000 0.0000 (multiplicity 3)  6 Er 2.89

Summary:
* D(E_F): 0.828 states/eV per atom
* ΔE_f (raw): -355 kJ/mol of formula units
* distance to the lowest polymorph of the same formula: 85.0 meV/atom